The following is a DFT calculation (PBE with a Hubbard U) of a geometry-optimized Ti2VF structure.

Values from the calculation:
Volume = 256.0 Å³/cell
Final energy = -0.434 Ry/atom

Cell lengths 6.3495, 6.3495, 6.3495 Å; angles 90.00, 90.00, 90.00 degrees
Space group Fm-3m (No. 225)
Asymmetric unit:
Ti (0.2500, 0.2500, 0.2500) [8 per cell]
V (0.0000, 0.0000, 0.0000) [4 per cell]
F (0.0000, 0.0000, 0.5000) [4 per cell]